1.
## BaSO4 (GGA-PBE)

Data for a relaxed structure of BaSO4.

Unit cell a=7.6156 b=7.6156 c=7.6156 alpha=140.15 beta=140.15 gamma=57.62
Closest atoms and distances in Å follow each position.
Element x y z (fractional)
Ba1 0.3750 0.1250 0.2500  12 O 2.85-3.09
Ba2 0.6250 0.8750 0.7500  12 O 2.85-3.09
S1 0.1250 0.3750 0.7500  4 O 1.49
S2 0.8750 0.6250 0.2500  4 O 1.49
O1 0.1756 0.6789 0.4792  1 S 1.49
O2 0.1789 0.1997 0.5033  1 S 1.49
O3 0.1964 0.6756 0.9967  1 S 1.49
O4 0.3003 0.3036 0.9792  1 S 1.49
O5 0.6997 0.6964 0.0208  1 S 1.49
O6 0.8036 0.3244 0.0033  1 S 1.49
O7 0.8211 0.8003 0.4967  1 S 1.49
O8 0.8244 0.3211 0.5208  1 S 1.49

As for the symmetry: I4_1/a (88). For the density of states at the Fermi level, the calculation gives 0.000 states/eV per atom. As for the density: 4.312 g/cm3. For the magnetization, the calculation gives 0.0 Bohr magnetons per cell. Its raw formation energy is -13.205 eV per formula unit. The calculation puts the total energy at -78.2 eV per cell.

---

2.
## Ba2SO (GGA-PBE)

Data for a relaxed structure of Ba2SO.

Unit cell a=5.1804 b=5.1804 c=5.1804 alpha=60.00 beta=60.00 gamma=60.00
Closest atoms and distances in Å follow each position.
Element x y z (fractional)
Ba1 0.2500 0.2500 0.2500  4 S 3.17, 4 O 3.17
Ba2 0.7500 0.7500 0.7500  4 O 3.17, 4 S 3.17
S1 0.0000 0.0000 0.0000  8 Ba 3.17
O1 0.5000 0.5000 0.5000  8 Ba 3.17

As for the symmetry: Fm-3m (225). For the density of states at the Fermi level, the calculation gives 0.000 states/eV per atom. As for the density: 5.451 g/cm3. For the magnetization, the calculation gives 0.0 Bohr magnetons per cell. Its raw formation energy is -7.349 eV per formula unit. The calculation puts the total energy at -20.3 eV per cell.

---

3.
## Ba4S3O (GGA-PBE)

Data for a relaxed structure of Ba4S3O.

Unit cell a=6.3033 b=6.3033 c=6.3033 alpha=90.00 beta=90.00 gamma=90.00
Closest atoms and distances in Å follow each position.
Element x y z (fractional)
Ba1 0.0000 0.0000 0.0000  6 S 3.15
Ba2 0.0000 0.5000 0.5000  2 O 3.15, 4 S 3.15
Ba3 0.5000 0.0000 0.5000  2 O 3.15, 4 S 3.15
Ba4 0.5000 0.5000 0.0000  2 O 3.15, 4 S 3.15
S1 0.0000 0.0000 0.5000  6 Ba 3.15
S2 0.0000 0.5000 0.0000  6 Ba 3.15
S3 0.5000 0.0000 0.0000  6 Ba 3.15
O1 0.5000 0.5000 0.5000  6 Ba 3.15

As for the symmetry: Pm-3m (221). As for the density: 4.386 g/cm3. For the magnetization, the calculation gives 0.0 Bohr magnetons per cell. Its raw formation energy is -16.439 eV per formula unit. The calculation puts the total energy at -41.5 eV per cell.

---

4.
## Ba3SO (GGA-PBE)

Data for a relaxed structure of Ba3SO.

Unit cell a=5.3399 b=5.3399 c=5.3399 alpha=90.00 beta=90.00 gamma=90.00
Closest atoms and distances in Å follow each position.
Element x y z (fractional)
Ba1 0.0000 0.0000 0.5000  2 O 2.67
Ba2 0.0000 0.5000 0.0000  2 O 2.67
Ba3 0.5000 0.0000 0.0000  2 O 2.67
S1 0.5000 0.5000 0.5000  12 Ba 3.78
O1 0.0000 0.0000 0.0000  6 Ba 2.67

As for the symmetry: Pm-3m (221). For the density of states at the Fermi level, the calculation gives 0.812 states/eV per atom. As for the density: 5.017 g/cm3. For the magnetization, the calculation gives 0.0 Bohr magnetons per cell. Its raw formation energy is -6.836 eV per formula unit. The calculation puts the total energy at -21.7 eV per cell.

---

5.
## BaS2O8 (GGA-PBE)

Data for a relaxed structure of BaS2O8.

Unit cell a=5.9019 b=5.9019 c=6.6622 alpha=112.62 beta=112.62 gamma=54.43
Closest atoms and distances in Å follow each position.
Element x y z (fractional)
Ba1 0.0000 0.0000 0.0000  10 O 2.82-3.05
S1 0.2217 0.2217 0.7128  4 O 1.47-1.50
S2 0.7783 0.7783 0.2872  4 O 1.47-1.50
O1 0.0518 0.5985 0.2064  1 S 1.50
O2 0.1487 0.1487 0.4676  1 S 1.47
O3 0.3765 0.3765 0.7970  1 S 1.47
O4 0.4015 0.9482 0.7936  1 S 1.50
O5 0.5985 0.0518 0.2064  1 S 1.50
O6 0.6235 0.6235 0.2030  1 S 1.47
O7 0.8513 0.8513 0.5324  1 S 1.47
O8 0.9482 0.4015 0.7936  1 S 1.50

As for the symmetry: C2/m (12). For the density of states at the Fermi level, the calculation gives 0.291 states/eV per atom. As for the density: 3.215 g/cm3. For the magnetization, the calculation gives 2.0 Bohr magnetons per cell. Its raw formation energy is -16.347 eV per formula unit. The calculation puts the total energy at -66.2 eV per cell.

---

6.
## Ba2SO (GGA-PBE)

Data for a relaxed structure of Ba2SO.

Unit cell a=4.9292 b=4.9292 c=9.6989 alpha=90.04 beta=90.04 gamma=90.00
Closest atoms and distances in Å follow each position.
Element x y z (fractional)
Ba1 0.2499 0.2499 0.3508  1 O 2.48
Ba2 0.2503 0.7497 0.0000  4 O 2.63
Ba3 0.7497 0.2503 0.0000  4 O 2.63
Ba4 0.7501 0.7501 0.6492  1 O 2.48
S1 0.2508 0.2508 0.6898  5 Ba 3.29-3.51
S2 0.7492 0.7492 0.3102  5 Ba 3.29-3.51
O1 0.2496 0.2496 0.0947  5 Ba 2.48-2.63
O2 0.7504 0.7504 0.9053  5 Ba 2.48-2.63

As for the symmetry: C2/m (12). For the density of states at the Fermi level, the calculation gives 0.000 states/eV per atom. As for the density: 4.548 g/cm3. For the magnetization, the calculation gives 0.0 Bohr magnetons per cell. Its raw formation energy is -8.644 eV per formula unit. The calculation puts the total energy at -43.1 eV per cell.

---

7.
## Ba2SO2 (GGA-PBE)

Data for a relaxed structure of Ba2SO2.

Unit cell a=7.4701 b=7.4701 c=3.7186 alpha=90.00 beta=90.00 gamma=90.00
Closest atoms and distances in Å follow each position.
Element x y z (fractional)
Ba1 0.1663 0.3337 0.0000  2 O 2.64
Ba2 0.3337 0.8337 0.0000  2 O 2.64
Ba3 0.6663 0.1663 0.0000  2 O 2.64
Ba4 0.8337 0.6663 0.0000  2 O 2.64
S1 0.0000 0.0000 0.5000  4 O 2.82
S2 0.5000 0.5000 0.5000  4 O 2.82
O1 0.1566 0.6566 0.5000  2 Ba 2.64, 2 S 2.82
O2 0.3434 0.1566 0.5000  2 Ba 2.64, 2 S 2.82
O3 0.6566 0.8434 0.5000  2 Ba 2.64, 2 S 2.82
O4 0.8434 0.3434 0.5000  2 Ba 2.64, 2 S 2.82

As for the symmetry: P4/mbm (127). For the density of states at the Fermi level, the calculation gives 0.003 states/eV per atom. As for the density: 5.421 g/cm3. For the magnetization, the calculation gives 0.0 Bohr magnetons per cell. Its raw formation energy is -8.129 eV per formula unit. The calculation puts the total energy at -52.0 eV per cell.

---

8.
## Ba2SO (GGA-PBE)

Data for a relaxed structure of Ba2SO.

Unit cell a=7.4573 b=7.4573 c=7.4573 alpha=33.01 beta=33.01 gamma=33.01
Closest atoms and distances in Å follow each position.
Element x y z (fractional)
Ba1 0.2396 0.2396 0.2396  3 O 2.89, 3 S 3.15
Ba2 0.7604 0.7604 0.7604  3 O 2.89, 3 S 3.15
S1 0.0000 0.0000 0.0000  6 Ba 3.15
O1 0.5000 0.5000 0.5000  6 Ba 2.89

As for the symmetry: R-3m (166). For the density of states at the Fermi level, the calculation gives 0.000 states/eV per atom. As for the density: 4.892 g/cm3. For the magnetization, the calculation gives 0.0 Bohr magnetons per cell. Its raw formation energy is -8.801 eV per formula unit. The calculation puts the total energy at -21.7 eV per cell.